1.
The following is a PBE-GGA calculation of a relaxed structure of LaTc2Ag, from Alexandria.

Cell and atoms, written as CIF:
```
data_LaTc2Ag
_chemical_formula_sum 'La2 Tc4 Ag2'
_symmetry_space_group_name_H-M 'C m m m'
_symmetry_Int_Tables_number 65
_symmetry_space_group_name_Hall '-C 2 2'
_cell_length_a 3.1849
_cell_length_b 4.9088
_cell_length_c 9.3375
_cell_angle_alpha 90.00
_cell_angle_beta 90.00
_cell_angle_gamma 90.00
loop_
_atom_site_label
_atom_site_type_symbol
_atom_site_fract_x
_atom_site_fract_y
_atom_site_fract_z
La1 La 0.0000 0.0000 0.0000
Tc1 Tc 0.0000 0.5000 0.2534
Ag1 Ag 0.0000 0.0000 0.5000
```

Results
energy above the lowest structure with this stoichiometry = 582.3 meV per atom



2.
The following is a PBE-GGA calculation of a relaxed structure of La8TcAg2, from Alexandria.

Cell and atoms, written as CIF:
```
data_La8TcAg2
_chemical_formula_sum 'La16 Tc2 Ag4'
_symmetry_space_group_name_H-M 'I m m m'
_symmetry_Int_Tables_number 71
_symmetry_space_group_name_Hall '-I 2 2'
_cell_length_a 6.0046
_cell_length_b 7.6283
_cell_length_c 14.4853
_cell_angle_alpha 90.00
_cell_angle_beta 90.00
_cell_angle_gamma 90.00
loop_
_atom_site_label
_atom_site_type_symbol
_atom_site_fract_x
_atom_site_fract_y
_atom_site_fract_z
La1 La 0.0000 0.0000 0.1440
La2 La 0.0000 0.2390 0.3643
La3 La 0.0000 0.2676 0.0000
Tc1 Tc 0.0000 0.5000 0.5000
Ag1 Ag 0.0000 0.5000 0.1897
```

Results
energy above the lowest structure with this stoichiometry = 86.4 meV per atom



3.
The following is a PBE-GGA calculation of a relaxed structure of La3TcAg, from Alexandria.

Cell and atoms, written as CIF:
```
data_La3TcAg
_chemical_formula_sum 'La12 Tc4 Ag4'
_symmetry_space_group_name_H-M 'P 1 21/c 1'
_symmetry_Int_Tables_number 14
_symmetry_space_group_name_Hall '-P 2ybc'
_cell_length_a 8.9833
_cell_length_b 8.6096
_cell_length_c 7.4535
_cell_angle_alpha 90.00
_cell_angle_beta 97.92
_cell_angle_gamma 90.00
loop_
_atom_site_label
_atom_site_type_symbol
_atom_site_fract_x
_atom_site_fract_y
_atom_site_fract_z
La1 La 0.0972 0.2244 0.0108
La2 La 0.2140 0.6005 0.8059
La3 La 0.3611 0.5234 0.2992
Tc1 Tc 0.0797 0.5483 0.2032
Ag1 Ag 0.4507 0.1884 0.4684
```

Results
energy above the lowest structure with this stoichiometry = 0.0 meV per atom



4.
The following is a PBE-GGA calculation of a relaxed structure of La5TcAg2, from Alexandria.

Cell and atoms, written as CIF:
```
data_La5TcAg2
_chemical_formula_sum 'La10 Tc2 Ag4'
_symmetry_space_group_name_H-M 'P b a m'
_symmetry_Int_Tables_number 55
_symmetry_space_group_name_Hall '-P 2 2ab'
_cell_length_a 8.1219
_cell_length_b 12.2028
_cell_length_c 4.8288
_cell_angle_alpha 90.00
_cell_angle_beta 90.00
_cell_angle_gamma 90.00
loop_
_atom_site_label
_atom_site_type_symbol
_atom_site_fract_x
_atom_site_fract_y
_atom_site_fract_z
La1 La 0.0000 0.0000 0.0000
La2 La 0.1375 0.2993 0.0000
La3 La 0.1895 0.5705 0.5000
Tc1 Tc 0.0000 0.5000 0.0000
Ag1 Ag 0.0825 0.8329 0.5000
```



5.
The following is a PBE-GGA calculation of a relaxed structure of LaTc2Ag, from Alexandria.

Cell and atoms, written as CIF:
```
data_LaTc2Ag
_chemical_formula_sum 'La2 Tc4 Ag2'
_symmetry_space_group_name_H-M 'C 1 2/m 1'
_symmetry_Int_Tables_number 12
_symmetry_space_group_name_Hall '-C 2y'
_cell_length_a 9.5619
_cell_length_b 3.9090
_cell_length_c 5.2893
_cell_angle_alpha 90.00
_cell_angle_beta 111.28
_cell_angle_gamma 90.00
loop_
_atom_site_label
_atom_site_type_symbol
_atom_site_fract_x
_atom_site_fract_y
_atom_site_fract_z
La1 La 0.0000 0.0000 0.0000
Tc1 Tc 0.2301 0.0000 0.6088
Ag1 Ag 0.0000 0.5000 0.5000
```

Results
energy above the lowest structure with this stoichiometry = 205.7 meV per atom



6.
The following is a PBE-GGA calculation of a relaxed structure of LaTc2Ag, from Alexandria.

Cell and atoms, written as CIF:
```
data_LaTc2Ag
_chemical_formula_sum 'La4 Tc8 Ag4'
_symmetry_space_group_name_H-M 'I -4 2 d'
_symmetry_Int_Tables_number 122
_symmetry_space_group_name_Hall 'I -4 2bw'
_cell_length_a 4.1238
_cell_length_b 4.1238
_cell_length_c 20.6508
_cell_angle_alpha 90.00
_cell_angle_beta 90.00
_cell_angle_gamma 90.00
loop_
_atom_site_label
_atom_site_type_symbol
_atom_site_fract_x
_atom_site_fract_y
_atom_site_fract_z
La1 La 0.0000 0.0000 0.0000
Tc1 Tc 0.1703 0.2500 0.1250
Ag1 Ag 0.0000 0.0000 0.5000
```

Results
energy above the lowest structure with this stoichiometry = 594.9 meV per atom



7.
The following is a PBE-GGA calculation of a relaxed structure of LaTc2Ag, from Alexandria.

Cell and atoms, written as CIF:
```
data_LaTc2Ag
_chemical_formula_sum 'La3 Tc6 Ag3'
_symmetry_space_group_name_H-M 'R 3 m'
_symmetry_Int_Tables_number 160
_symmetry_space_group_name_Hall 'R 3 -2"'
_cell_length_a 4.2935
_cell_length_b 4.2935
_cell_length_c 16.7923
_cell_angle_alpha 90.00
_cell_angle_beta 90.00
_cell_angle_gamma 120.00
loop_
_atom_site_label
_atom_site_type_symbol
_atom_site_fract_x
_atom_site_fract_y
_atom_site_fract_z
La1 La 0.0000 0.0000 0.0000
Tc1 Tc 0.0000 0.0000 0.2052
Tc2 Tc 0.0000 0.0000 0.5282
Ag1 Ag 0.0000 0.0000 0.7847
```

Results
energy above the lowest structure with this stoichiometry = 10.0 meV per atom



8.
The following is a PBE-GGA calculation of a relaxed structure of LaTcAg4, from Alexandria.

Cell and atoms, written as CIF:
```
data_LaTcAg4
_chemical_formula_sum 'La4 Tc4 Ag16'
_symmetry_space_group_name_H-M 'F -4 3 m'
_symmetry_Int_Tables_number 216
_symmetry_space_group_name_Hall 'F -4 2 3'
_cell_length_a 7.9012
_cell_length_b 7.9012
_cell_length_c 7.9012
_cell_angle_alpha 90.00
_cell_angle_beta 90.00
_cell_angle_gamma 90.00
loop_
_atom_site_label
_atom_site_type_symbol
_atom_site_fract_x
_atom_site_fract_y
_atom_site_fract_z
La1 La 0.0000 0.0000 0.0000
Tc1 Tc 0.2500 0.2500 0.7500
Ag1 Ag 0.1243 0.1243 0.3757
```



no.,calculated total energy (eV per atom),total magnetization (μB per cell),formation enthalpy at 0 K (eV per formula unit)
1,-6.387,0.000,2.964
2,-5.035,0.000,0.108
3,-5.696,0.000,-0.482
4,-5.240,0.000,-1.214
5,-6.763,0.000,1.457
6,-6.374,0.000,3.014
7,-6.959,0.000,0.675
8,-4.168,9.845,1.692